Record 1
VASP calculation (PBE) on ReSiP2 after structural relaxation.

The calculation puts the density at 7.06 g/cm3. The calculation puts the formation energy (no corrections) at 0.0066 eV/atom.

It has space group Amm2 (No. 38), with a = 4.455 Å, b = 3.826 Å, c = 7.625 Å, α = 90.00°, β = 90.00° and γ = 90.00°. Symmetry generates all atoms from Re at (0.000, 0.000, 0.000), Si at (0.500, 0.000, 0.178), P at (0.000, 0.000, 0.662) and P at (0.500, 0.000, 0.857).


Record 2
VASP calculation (PBE) on MgTl2Re after structural relaxation.

The calculation puts the density at 12.68 g/cm3. The value obtained for the formation energy is 3.23 eV/f.u. The calculation puts the distance to the lowest polymorph of the same formula at 221 meV per atom.

It has space group Fm-3m (No. 225), with a = 6.872 Å, b = 6.872 Å, c = 6.872 Å, α = 90.00°, β = 90.00° and γ = 90.00°. Symmetry generates all atoms from Mg at (0.000, 0.000, 0.000), Tl at (0.250, 0.250, 0.250) and Re at (0.000, 0.000, 0.500).


Record 3
VASP calculation (PBE) on CaRe3Te after structural relaxation.

The calculation puts the density at 11.40 g/cm3. The calculation puts the formation energy (no corrections) at 3.1914 eV/atom. The calculation puts the distance to the lowest polymorph of the same formula at 1272 meV per atom.

It has space group Pm-3m (No. 221), with a = 4.730 Å, b = 4.730 Å, c = 4.730 Å, α = 90.00°, β = 90.00° and γ = 90.00°. Symmetry generates all atoms from Ca at (0.000, 0.000, 0.000), Re at (0.000, 0.000, 0.500) and Te at (0.500, 0.500, 0.500).


Record 4
VASP calculation (PBE) on NpMnSn2 after structural relaxation.

The calculation puts the density at 10.24 g/cm3. The value obtained for the formation energy is 0.48 eV/f.u.

It has space group P4/mmm (No. 123), with a = 3.207 Å, b = 3.207 Å, c = 8.345 Å, α = 90.00°, β = 90.00° and γ = 90.00°. Symmetry generates all atoms from Np at (0.000, 0.000, 0.000), Mn at (0.000, 0.000, 0.500) and Sn at (0.500, 0.500, 0.286).


no.,density of states at the Fermi level (states/eV per cell)
1,2.60
2,10.08
3,6.14
4,5.71